No. 1
# GaAgTe2 | Alexandria via LeMat-Bulk | GGA-PBEsol | optimized geometry
# E_form (uncorrected) (meV/atom): -228
# Crystal system: tetragonal
data_GaAgTe2
_symmetry_space_group_name_H-M 'P 1'
_symmetry_Int_Tables_number 1
_symmetry_space_group_name_Hall 'P 1'
_cell_length_a 7.505
_cell_length_b 7.505
_cell_length_c 7.505
_cell_angle_alpha 130.69
_cell_angle_beta 130.69
_cell_angle_gamma 72.31
loop_
_atom_site_label
_atom_site_fract_x
_atom_site_fract_y
_atom_site_fract_z
Ga1 0.000 0.000 0.000
Ga2 0.750 0.250 0.500
Ag1 0.250 0.750 0.500
Ag2 0.500 0.500 0.000
Te1 0.112 0.625 0.987
Te2 0.375 0.362 0.487
Te3 0.638 0.125 0.013
Te4 0.875 0.888 0.513


No. 2
# Ti2GaAgTe | Alexandria via LeMat-Bulk | GGA-PBEsol | optimized geometry
# N(E_F) (states/eV per cell): 5.979
# E_form (uncorrected) (meV/atom): 775
# Crystal system: tetragonal
data_Ti2GaAgTe
_symmetry_space_group_name_H-M 'P 1'
_symmetry_Int_Tables_number 1
_symmetry_space_group_name_Hall 'P 1'
_cell_length_a 4.977
_cell_length_b 4.977
_cell_length_c 4.974
_cell_angle_alpha 90.00
_cell_angle_beta 90.00
_cell_angle_gamma 90.00
loop_
_atom_site_label
_atom_site_fract_x
_atom_site_fract_y
_atom_site_fract_z
Ti1 0.000 0.500 0.000
Ti2 0.500 0.000 0.000
Ga1 0.000 0.000 0.500
Ag1 0.500 0.500 0.500
Te1 0.500 0.500 0.000


No. 3
# TlGa2Ag2 | Alexandria via LeMat-Bulk | GGA-PBEsol | optimized geometry
# N(E_F) (states/eV per cell): 1.660
# DFT formation energy (meV/atom): 57
# Crystal system: tetragonal
data_TlGa2Ag2
_symmetry_space_group_name_H-M 'P 1'
_symmetry_Int_Tables_number 1
_symmetry_space_group_name_Hall 'P 1'
_cell_length_a 7.072
_cell_length_b 7.072
_cell_length_c 7.072
_cell_angle_alpha 148.25
_cell_angle_beta 148.25
_cell_angle_gamma 45.52
loop_
_atom_site_label
_atom_site_fract_x
_atom_site_fract_y
_atom_site_fract_z
Tl1 0.000 0.000 0.000
Ga1 0.250 0.750 0.500
Ga2 0.750 0.250 0.500
Ag1 0.393 0.393 0.000
Ag2 0.607 0.607 0.000


No. 4
# TlGa2Ag2 | Alexandria via LeMat-Bulk | GGA-PBEsol | optimized geometry
# N(E_F) (states/eV per cell): 3.729
# DFT formation energy (meV/atom): 55
# Crystal system: tetragonal
data_TlGa2Ag2
_symmetry_space_group_name_H-M 'P 1'
_symmetry_Int_Tables_number 1
_symmetry_space_group_name_Hall 'P 1'
_cell_length_a 8.047
_cell_length_b 8.047
_cell_length_c 2.946
_cell_angle_alpha 90.00
_cell_angle_beta 90.00
_cell_angle_gamma 90.00
loop_
_atom_site_label
_atom_site_fract_x
_atom_site_fract_y
_atom_site_fract_z
Tl1 0.000 0.000 0.000
Tl2 0.500 0.500 0.000
Ga1 0.170 0.330 0.500
Ga2 0.330 0.830 0.500
Ga3 0.670 0.170 0.500
Ga4 0.830 0.670 0.500
Ag1 0.127 0.627 0.000
Ag2 0.373 0.127 0.000
Ag3 0.627 0.873 0.000
Ag4 0.873 0.373 0.000


No. 5
# Y2Ga2Ag | Alexandria via LeMat-Bulk | GGA-PBEsol | optimized geometry
# N(E_F) (states/eV per cell): 7.457
# DFT formation energy (meV/atom): -600
# Crystal system: tetragonal
data_Y2Ga2Ag
_symmetry_space_group_name_H-M 'P 1'
_symmetry_Int_Tables_number 1
_symmetry_space_group_name_Hall 'P 1'
_cell_length_a 6.955
_cell_length_b 6.955
_cell_length_c 4.370
_cell_angle_alpha 90.00
_cell_angle_beta 90.00
_cell_angle_gamma 90.00
loop_
_atom_site_label
_atom_site_fract_x
_atom_site_fract_y
_atom_site_fract_z
Y1 0.171 0.329 0.000
Y2 0.329 0.829 0.000
Y3 0.671 0.171 0.000
Y4 0.829 0.671 0.000
Ga1 0.132 0.632 0.500
Ga2 0.368 0.132 0.500
Ga3 0.632 0.868 0.500
Ga4 0.868 0.368 0.500
Ag1 0.000 0.000 0.500
Ag2 0.500 0.500 0.500


No. 6
# Zn2GaAg2 | Alexandria via LeMat-Bulk | GGA-PBEsol | optimized geometry
# N(E_F) (states/eV per cell): 2.384
# DFT formation energy (meV/atom): 26
# Crystal system: tetragonal
data_Zn2GaAg2
_symmetry_space_group_name_H-M 'P 1'
_symmetry_Int_Tables_number 1
_symmetry_space_group_name_Hall 'P 1'
_cell_length_a 7.709
_cell_length_b 7.709
_cell_length_c 2.777
_cell_angle_alpha 90.00
_cell_angle_beta 90.00
_cell_angle_gamma 90.00
loop_
_atom_site_label
_atom_site_fract_x
_atom_site_fract_y
_atom_site_fract_z
Zn1 0.169 0.331 0.000
Zn2 0.331 0.831 0.000
Zn3 0.669 0.169 0.000
Zn4 0.831 0.669 0.000
Ga1 0.000 0.000 0.500
Ga2 0.500 0.500 0.500
Ag1 0.130 0.630 0.500
Ag2 0.370 0.130 0.500
Ag3 0.630 0.870 0.500
Ag4 0.870 0.370 0.500


Computed magnetic moment, in the same sequence as the records: 0.000; 0.224; 0.000; 0.000; 0.000; 0.000 μB per formula unit.
Computed density, in the same sequence as the records: 6.05; 5.40; 9.52; 9.74; 6.68; 8.38 Mg/m³.